[1]
DFT (PBE-GGA) results for a geometry-optimized PmLuP structure. Values from VASP.

Geometry as Quantum ESPRESSO input:
```
&SYSTEM
  ibrav = 0, nat = 3, ntyp = 3
/
ATOMIC_SPECIES
P 30.97 P.upf
Lu 174.97 Lu.upf
Pm 145.00 Pm.upf
CELL_PARAMETERS angstrom
-0.881 -1.260 6.227
-2.066 -3.185 -0.937
3.870 -0.256 0.496
ATOMIC_POSITIONS crystal
P 0.010 0.000 0.000
Lu 0.243 0.333 0.667
Pm 0.746 0.667 0.333
```

Volume, Å³ per cell: 84.9
Crystal system: trigonal
Total magnetization, μB per atom: 0.06
VASP energy, eV/atom: -5.81


[2]
DFT (PBE-GGA) results for a geometry-optimized LaGa3Rh2 structure. Values from VASP.

Geometry as Quantum ESPRESSO input:
```
&SYSTEM
  ibrav = 0, nat = 12, ntyp = 3
/
ATOMIC_SPECIES
Ga 69.72 Ga.upf
Rh 102.91 Rh.upf
La 138.91 La.upf
CELL_PARAMETERS angstrom
5.708 0.000 0.000
0.000 6.289 0.431
0.000 -1.669 6.079
ATOMIC_POSITIONS crystal
Ga 0.250 0.960 0.960
Ga 0.750 0.040 0.040
Ga 0.750 0.458 0.106
Ga 0.250 0.542 0.894
Ga 0.750 0.106 0.458
Ga 0.250 0.894 0.542
Rh 0.500 0.212 0.788
Rh 0.500 0.788 0.212
Rh 0.000 0.212 0.788
Rh 0.000 0.788 0.212
La 0.250 0.349 0.349
La 0.750 0.651 0.651
```

Volume, Å³ per cell: 222.4
Crystal system: orthorhombic
Total magnetization, μB per atom: 0.00
VASP energy, eV/atom: -5.55


[3]
DFT (PBE-GGA) results for a geometry-optimized YGa4 structure. Values from VASP.

Geometry as Quantum ESPRESSO input:
```
&SYSTEM
  ibrav = 0, nat = 20, ntyp = 2
/
ATOMIC_SPECIES
Ga 69.72 Ga.upf
Y 88.91 Y.upf
CELL_PARAMETERS angstrom
-3.317 -2.786 -1.968
6.267 -2.343 -7.245
3.274 -7.642 5.304
ATOMIC_POSITIONS crystal
Ga 0.759 0.000 0.000
Ga 0.500 0.635 0.704
Ga 0.500 0.128 0.200
Ga 0.500 0.296 0.635
Ga 0.500 0.704 0.365
Ga 0.500 0.200 0.872
Ga 0.500 0.456 0.884
Ga 0.500 0.872 0.800
Ga 0.241 0.000 0.000
Ga 0.500 0.365 0.296
Ga 0.500 0.544 0.116
Ga 0.244 0.500 0.500
Ga 0.500 0.116 0.456
Ga 0.500 0.884 0.544
Ga 0.756 0.500 0.500
Ga 0.500 0.800 0.128
Y 0.000 0.061 0.698
Y 0.000 0.302 0.061
Y 0.000 0.939 0.302
Y 0.000 0.698 0.939
```

Volume, Å³ per cell: 462.7
Crystal system: tetragonal
Total magnetization, μB per atom: 0.00
Distance to the lowest polymorph of the same formula, eV/atom: 0.276


[4]
DFT (PBE-GGA) results for a geometry-optimized SrPm2ErS4 structure. Values from VASP.

Geometry as Quantum ESPRESSO input:
```
&SYSTEM
  ibrav = 0, nat = 8, ntyp = 4
/
ATOMIC_SPECIES
Pm 145.00 Pm.upf
S 32.06 S.upf
Sr 87.62 Sr.upf
Er 167.26 Er.upf
CELL_PARAMETERS angstrom
4.012 0.000 0.000
0.000 7.026 -0.174
0.000 2.441 6.556
ATOMIC_POSITIONS crystal
Pm 0.500 0.000 0.500
Pm 0.000 0.000 0.000
S 0.500 0.259 0.736
S 0.000 0.250 0.262
S 0.500 0.741 0.264
S 0.000 0.750 0.738
Sr 0.500 0.500 0.000
Er 0.000 0.500 0.500
```

Volume, Å³ per cell: 186.5
Crystal system: monoclinic
Total magnetization, μB per atom: 0.00
VASP energy, eV/atom: -6.03


[5]
DFT (PBE-GGA) results for a geometry-optimized GaCoRe2 structure. Values from VASP.

Geometry as Quantum ESPRESSO input:
```
&SYSTEM
  ibrav = 0, nat = 8, ntyp = 3
/
ATOMIC_SPECIES
Re 186.21 Re.upf
Ga 69.72 Ga.upf
Co 58.93 Co.upf
CELL_PARAMETERS angstrom
-4.045 5.085 -2.357
-5.201 -2.323 3.914
-3.862 2.864 2.671
ATOMIC_POSITIONS crystal
Re 0.159 0.625 0.250
Re 0.875 0.841 0.750
Re 0.375 0.409 0.750
Re 0.591 0.125 0.250
Ga 0.750 0.250 0.500
Ga 0.000 0.000 0.000
Co 0.250 0.750 0.500
Co 0.500 0.500 0.000
```

Volume, Å³ per cell: 120.5
Crystal system: tetragonal
Total magnetization, μB per atom: 0.00
VASP energy, eV/atom: -8.05


[6]
DFT (PBE-GGA) results for a geometry-optimized NaThAg structure. Values from VASP.

Geometry as Quantum ESPRESSO input:
```
&SYSTEM
  ibrav = 0, nat = 6, ntyp = 3
/
ATOMIC_SPECIES
Ag 107.87 Ag.upf
Th 232.04 Th.upf
Na 22.99 Na.upf
CELL_PARAMETERS angstrom
-0.460 -2.591 2.528
3.259 -1.405 -0.847
5.482 7.490 8.674
ATOMIC_POSITIONS crystal
Ag 0.500 0.000 0.751
Ag 0.000 0.500 0.249
Th 0.500 0.000 0.097
Th 0.000 0.500 0.903
Na 0.500 0.000 0.394
Na 0.000 0.500 0.606
```

Volume, Å³ per cell: 169.2
Crystal system: tetragonal
Total magnetization, μB per atom: 0.00
VASP energy, eV/atom: -3.86


[7]
DFT (PBE-GGA) results for a geometry-optimized PmErPt structure. Values from VASP.

Geometry as Quantum ESPRESSO input:
```
&SYSTEM
  ibrav = 0, nat = 3, ntyp = 3
/
ATOMIC_SPECIES
Pt 195.08 Pt.upf
Pm 145.00 Pm.upf
Er 167.26 Er.upf
CELL_PARAMETERS angstrom
-2.194 -3.311 -1.458
3.937 -1.911 -1.585
-1.465 -0.931 4.319
ATOMIC_POSITIONS crystal
Pt 0.046 0.000 0.000
Pm 0.719 0.667 0.333
Er 0.236 0.333 0.667
```

Volume, Å³ per cell: 79.4
Crystal system: trigonal
Total magnetization, μB per atom: 0.00
Distance to the lowest polymorph of the same formula, eV/atom: 0.233


[8]
DFT (PBE-GGA) results for a geometry-optimized KTl2Sb2 structure. Values from VASP.

Geometry as Quantum ESPRESSO input:
```
&SYSTEM
  ibrav = 0, nat = 5, ntyp = 3
/
ATOMIC_SPECIES
Tl 204.38 Tl.upf
Sb 121.76 Sb.upf
K 39.10 K.upf
CELL_PARAMETERS angstrom
-4.853 1.821 0.767
-1.769 -4.910 0.465
-2.189 -1.326 7.196
ATOMIC_POSITIONS crystal
Tl 0.750 0.250 0.500
Tl 0.250 0.750 0.500
Sb 0.608 0.608 0.784
Sb 0.392 0.392 0.216
K 0.000 0.000 0.000
```

Volume, Å³ per cell: 183.4
Crystal system: tetragonal
Total magnetization, μB per atom: 0.00
Distance to the lowest polymorph of the same formula, eV/atom: 0.000


[9]
DFT (PBE-GGA) results for a geometry-optimized TbTm5Th2 structure. Values from VASP.

Geometry as Quantum ESPRESSO input:
```
&SYSTEM
  ibrav = 0, nat = 8, ntyp = 3
/
ATOMIC_SPECIES
Tm 168.93 Tm.upf
Th 232.04 Th.upf
Tb 158.93 Tb.upf
CELL_PARAMETERS angstrom
3.489 0.000 0.000
1.745 8.568 -0.070
1.745 1.506 8.435
ATOMIC_POSITIONS crystal
Tm 0.370 0.862 0.399
Tm 0.630 0.138 0.601
Tm 0.370 0.399 0.862
Tm 0.000 0.500 0.500
Tm 0.630 0.601 0.138
Th 0.259 0.241 0.241
Th 0.741 0.759 0.759
Tb 0.000 0.000 0.000
```

Volume, Å³ per cell: 252.6
Crystal system: orthorhombic
Total magnetization, μB per atom: 0.00
VASP energy, eV/atom: -5.13


[10]
DFT (PBE-GGA) results for a geometry-optimized SiSb2Mo structure. Values from VASP.

Geometry as Quantum ESPRESSO input:
```
&SYSTEM
  ibrav = 0, nat = 4, ntyp = 3
/
ATOMIC_SPECIES
Sb 121.76 Sb.upf
Mo 95.94 Mo.upf
Si 28.09 Si.upf
CELL_PARAMETERS angstrom
-3.431 -3.697 2.057
2.306 -3.282 3.685
-0.192 5.398 -0.698
ATOMIC_POSITIONS crystal
Sb 0.000 0.000 0.000
Sb 0.250 0.750 0.500
Mo 0.750 0.250 0.500
Si 0.500 0.500 0.000
```

Volume, Å³ per cell: 81.4
Crystal system: tetragonal
Total magnetization, μB per atom: 0.32
VASP energy, eV/atom: -5.45


[11]
DFT (PBE-GGA) results for a geometry-optimized TbThTlTc structure. Values from VASP.

Geometry as Quantum ESPRESSO input:
```
&SYSTEM
  ibrav = 0, nat = 4, ntyp = 4
/
ATOMIC_SPECIES
Tc 98.00 Tc.upf
Tl 204.38 Tl.upf
Th 232.04 Th.upf
Tb 158.93 Tb.upf
CELL_PARAMETERS angstrom
5.210 0.000 0.000
2.605 4.512 0.000
2.605 1.504 4.254
ATOMIC_POSITIONS crystal
Tc 0.500 0.500 0.500
Tl 0.000 0.000 0.000
Th 0.750 0.750 0.750
Tb 0.250 0.250 0.250
```

Volume, Å³ per cell: 100.0
Crystal system: cubic
Total magnetization, μB per atom: 0.00
VASP energy, eV/atom: -6.19


[12]
DFT (PBE-GGA) results for a geometry-optimized LiZr2Nb structure. Values from VASP.

Geometry as Quantum ESPRESSO input:
```
&SYSTEM
  ibrav = 0, nat = 8, ntyp = 3
/
ATOMIC_SPECIES
Nb 92.91 Nb.upf
Li 6.94 Li.upf
Zr 91.22 Zr.upf
CELL_PARAMETERS angstrom
4.104 0.000 0.000
0.000 4.104 0.000
2.052 2.052 9.857
ATOMIC_POSITIONS crystal
Nb 0.750 0.250 0.500
Nb 0.000 0.000 0.000
Li 0.500 0.500 0.000
Li 0.250 0.750 0.500
Zr 0.118 0.625 0.250
Zr 0.632 0.125 0.250
Zr 0.875 0.882 0.750
Zr 0.375 0.368 0.750
```

Volume, Å³ per cell: 166.0
Crystal system: tetragonal
Total magnetization, μB per atom: 0.00
Distance to the lowest polymorph of the same formula, eV/atom: 0.523